DFT (GGA-PBE) results for a geometry-optimized Np3Tl3PtSe8 structure.

Cell lengths 9.2697, 9.2697, 9.2697 Å; angles 51.44, 51.44, 51.44 degrees
Fractional positions:
1 Np 0.0000 0.5000 0.5000
2 Np 0.5000 0.0000 0.5000
3 Np 0.5000 0.5000 0.0000
4 Tl 0.0000 0.0000 0.5000
5 Tl 0.0000 0.5000 0.0000
6 Tl 0.5000 0.0000 0.0000
7 Pt 0.0000 0.0000 0.0000
8 Se 0.2213 0.2213 0.7508
9 Se 0.2213 0.7508 0.2213
10 Se 0.2492 0.7787 0.7787
11 Se 0.2640 0.2640 0.2640
12 Se 0.7360 0.7360 0.7360
13 Se 0.7508 0.2213 0.2213
14 Se 0.7787 0.2492 0.7787
15 Se 0.7787 0.7787 0.2492

Calculated values
Density of states at the Fermi level ... 32.7 states/eV per cell
Total magnetization ... 10.79 μB/f.u.
SG ... R-3m (166)
Formation energy (no corrections) ... -0.735 eV/atom
Electronic total energy ... -6.058 eV/atom